1.
VASP calculation (PBE-GGA) on TaHgS3 after structural relaxation.

```
TaHgS3
1.0
4.8537 0.0000 0.0000
0.0000 4.8537 0.0000
0.0000 0.0000 4.8537
Ta Hg S
1 1 3
Direct
0.0000 0.0000 0.0000
0.5000 0.5000 0.5000
0.0000 0.5000 0.5000
0.5000 0.0000 0.5000
0.5000 0.5000 0.0000
```

Summary:
Its density of states at the Fermi level is 0.9362 states/eV/atom. For the total energy, the calculation gives -3.596 eV/atom. The calculation puts the uncorrected formation energy at 1.311 eV/atom. As for the space group: Pm-3m (221). For the excess energy over the best structure of this formula in the dataset, the calculation gives 9.12 eV/f.u. The volume comes out at 22.9 Å³ per atom.

2.
VASP calculation (PBE-GGA) on Li2Sm2ErCd5 after structural relaxation.

```
Li2Sm2ErCd5
1.0
10.6120 0.0000 0.0000
0.0000 10.6120 0.0000
0.0000 0.0000 4.1311
Li Sm Er Cd
4 4 2 10
Direct
0.1149 0.3851 0.0000
0.3851 0.8851 0.0000
0.6149 0.1149 0.0000
0.8851 0.6149 0.0000
0.1802 0.6802 0.0000
0.3198 0.1802 0.0000
0.6802 0.8198 0.0000
0.8198 0.3198 0.0000
0.0000 0.0000 0.0000
0.5000 0.5000 0.0000
0.0000 0.5000 0.5000
0.0598 0.2147 0.5000
0.2147 0.9402 0.5000
0.2853 0.4402 0.5000
0.4402 0.7147 0.5000
0.5000 0.0000 0.5000
0.5598 0.2853 0.5000
0.7147 0.5598 0.5000
0.7853 0.0598 0.5000
0.9402 0.7853 0.5000
```

Summary:
Its density of states at the Fermi level is 0.6911 states/eV/atom. For the total energy, the calculation gives -2.522 eV/atom. As for the space group: P4/mbm (127). The volume comes out at 23.3 Å³ per atom.

3.
VASP calculation (PBE-GGA) on Ca3Ge5Pt6 after structural relaxation.

```
Ca3Ge5Pt6
1.0
4.1360 0.0000 0.0000
0.0000 12.6810 0.0000
0.0000 0.0000 10.2682
Ca Ge Pt
6 10 12
Direct
0.2500 0.0923 0.2488
0.2500 0.4077 0.2488
0.2500 0.7500 0.2421
0.7500 0.2500 0.7579
0.7500 0.5923 0.7512
0.7500 0.9077 0.7512
0.2500 0.0767 0.6503
0.2500 0.4233 0.6503
0.2500 0.6318 0.9793
0.2500 0.7500 0.6314
0.2500 0.8682 0.9793
0.7500 0.1318 0.0207
0.7500 0.2500 0.3686
0.7500 0.3682 0.0207
0.7500 0.5767 0.3497
0.7500 0.9233 0.3497
0.2500 0.0486 0.8889
0.2500 0.2500 0.0025
0.2500 0.2500 0.5144
0.2500 0.4514 0.8889
0.2500 0.5830 0.4896
0.2500 0.9170 0.4896
0.7500 0.0830 0.5104
0.7500 0.4170 0.5104
0.7500 0.5486 0.1111
0.7500 0.7500 0.4856
0.7500 0.7500 0.9975
0.7500 0.9514 0.1111
```

Summary:
Its density of states at the Fermi level is 0.5554 states/eV/atom. For the total energy, the calculation gives -5.449 eV/atom. As for the space group: Pmmn (59). The volume comes out at 19.2 Å³ per atom.

4.
VASP calculation (PBE-GGA) on CaZnAu3 after structural relaxation.

```
CaZnAu3
1.0
5.4780 0.0000 0.0000
0.0000 5.4780 0.0000
0.0000 0.0000 5.4780
Ca Zn Au
1 1 3
Direct
0.0000 0.0000 0.0000
0.5000 0.5000 0.5000
0.0000 0.0000 0.5000
0.0000 0.5000 0.0000
0.5000 0.0000 0.0000
```

Summary:
Its density of states at the Fermi level is 0.8913 states/eV/atom. For the total energy, the calculation gives -2.050 eV/atom. As for the space group: Pm-3m (221). For the excess energy over the best structure of this formula in the dataset, the calculation gives 5.30 eV/f.u. The volume comes out at 32.9 Å³ per atom.

5.
VASP calculation (PBE-GGA) on Ba2HfTaW after structural relaxation.

```
Ba2HfTaW
1.0
5.9339 0.0000 0.0000
0.0000 5.9339 0.0000
0.0000 0.0000 5.0671
Ba Hf Ta W
2 1 1 1
Direct
0.0000 0.5000 0.0000
0.5000 0.0000 0.0000
0.0000 0.0000 0.5000
0.5000 0.5000 0.5000
0.0000 0.0000 0.0000
```

Summary:
Its density of states at the Fermi level is 1.1420 states/eV/atom. For the total energy, the calculation gives -5.870 eV/atom. As for the space group: P4/mmm (123). The volume comes out at 35.7 Å³ per atom.

6.
VASP calculation (PBE-GGA) on CaSbAu after structural relaxation.

```
CaSbAu
1.0
4.6048 0.0000 0.0000
2.2983 5.4731 0.0000
0.0076 2.4632 6.3688
Ca Sb Au
2 2 2
Direct
0.1502 0.1995 0.2136
0.8498 0.8005 0.7864
0.1258 0.2491 0.6834
0.8742 0.7509 0.3166
0.4259 0.6480 0.1261
0.5741 0.3520 0.8739
```

Summary:
Its density of states at the Fermi level is 0.3144 states/eV/atom. For the total energy, the calculation gives -3.850 eV/atom. The calculation puts the uncorrected formation energy at -0.717 eV/atom. As for the space group: P-1 (2). The volume comes out at 26.8 Å³ per atom.

7.
VASP calculation (PBE-GGA) on SnRh2PbN after structural relaxation.

```
SnRh2PbN
1.0
4.1385 0.0000 0.0000
0.0000 4.1385 0.0000
0.0000 0.0000 5.3053
Sn Rh Pb N
1 2 1 1
Direct
0.0000 0.0000 0.0000
0.0000 0.5000 0.5000
0.5000 0.0000 0.5000
0.5000 0.5000 0.0000
0.5000 0.5000 0.5000
```

Summary:
Its density of states at the Fermi level is 1.0018 states/eV/atom. For the total energy, the calculation gives -5.693 eV/atom. The calculation puts the uncorrected formation energy at 0.455 eV/atom. As for the space group: P4/mmm (123). The volume comes out at 18.2 Å³ per atom.

8.
VASP calculation (PBE-GGA) on CaAg2O4 after structural relaxation.

```
CaAg2O4
1.0
-3.0232 3.0232 5.0980
3.0232 -3.0232 5.0980
3.0232 3.0232 -5.0980
Ca Ag O
2 4 8
Direct
0.3750 0.1250 0.2500
0.6250 0.8750 0.7500
0.0000 0.0000 0.5000
0.0000 0.5000 0.0000
0.0000 0.5000 0.5000
0.5000 0.5000 0.0000
0.0251 0.7238 0.8953
0.2238 0.8285 0.6988
0.3285 0.1298 0.6047
0.3702 0.4749 0.1988
0.6298 0.5251 0.8012
0.6715 0.8702 0.3953
0.7762 0.1715 0.3012
0.9749 0.2762 0.1047
```

Summary:
For the total energy, the calculation gives -4.873 eV/atom. The calculation puts the uncorrected formation energy at -0.939 eV/atom. As for the space group: I4_1/a (88). For the excess energy over the best structure of this formula in the dataset, the calculation gives 0.00 eV/f.u. The volume comes out at 13.3 Å³ per atom.

9.
VASP calculation (PBE-GGA) on Na4Pm3RuO8 after structural relaxation.

```
Na4Pm3RuO8
1.0
3.4196 1.9743 5.6263
-3.4196 1.9743 5.6263
0.0000 -3.9486 5.6263
Na Pm Ru O
4 3 1 8
Direct
0.0000 0.0000 0.0000
0.0000 0.5000 0.5000
0.5000 0.0000 0.5000
0.5000 0.5000 0.0000
0.0000 0.0000 0.5000
0.0000 0.5000 0.0000
0.5000 0.0000 0.0000
0.5000 0.5000 0.5000
0.2398 0.2398 0.2398
0.2594 0.7288 0.7288
0.2712 0.2712 0.7406
0.2712 0.7406 0.2712
0.7288 0.2594 0.7288
0.7288 0.7288 0.2594
0.7406 0.2712 0.2712
0.7602 0.7602 0.7602
```

Summary:
Its density of states at the Fermi level is 0.5342 states/eV/atom. For the total energy, the calculation gives -6.458 eV/atom. The calculation puts the uncorrected formation energy at -2.178 eV/atom. As for the space group: R-3m (166). The volume comes out at 14.2 Å³ per atom.

10.
VASP calculation (PBE-GGA) on NaLa3Ir after structural relaxation.

```
NaLa3Ir
1.0
4.3387 0.0000 0.0000
0.0000 4.3387 0.0000
0.0000 0.0000 10.1522
Na La Ir
1 3 1
Direct
0.0000 0.0000 0.0000
0.0000 0.0000 0.6083
0.0000 0.5000 0.3155
0.5000 0.0000 0.3155
0.5000 0.5000 0.5297
```

Summary:
Its density of states at the Fermi level is 1.1214 states/eV/atom. For the total energy, the calculation gives -4.927 eV/atom. As for the space group: P4mm (99). For the excess energy over the best structure of this formula in the dataset, the calculation gives 1.95 eV/f.u. The volume comes out at 38.2 Å³ per atom.

11.
VASP calculation (PBE-GGA) on Sc3CoCu2 after structural relaxation.

```
Sc3CoCu2
1.0
2.2885 -6.8076 0.0000
2.2885 6.8076 0.0000
0.0000 0.0000 3.1996
Sc Co Cu
3 1 2
Direct
0.0000 0.0000 0.0000
0.3409 0.6591 0.0000
0.6591 0.3409 0.0000
0.5000 0.5000 0.5000
0.1672 0.8328 0.5000
0.8328 0.1672 0.5000
```

Summary:
Its density of states at the Fermi level is 0.6919 states/eV/atom. For the total energy, the calculation gives -6.022 eV/atom. As for the space group: Cmmm (65). The volume comes out at 16.6 Å³ per atom.

12.
VASP calculation (PBE-GGA) on Pm3Co3Sn after structural relaxation.

```
Pm3Co3Sn
1.0
9.9031 0.0000 0.0000
-4.9515 8.5763 0.0000
0.0000 0.0000 3.8367
Pm Co Sn
6 6 2
Direct
0.0610 0.6848 0.2500
0.3152 0.3762 0.2500
0.3762 0.0610 0.7500
0.6238 0.9390 0.2500
0.6848 0.6238 0.7500
0.9390 0.3152 0.7500
0.0201 0.8676 0.7500
0.1324 0.1525 0.7500
0.1525 0.0201 0.2500
0.8475 0.9799 0.7500
0.8676 0.8475 0.2500
0.9799 0.1324 0.2500
0.3333 0.6667 0.7500
0.6667 0.3333 0.2500
```

Summary:
Its density of states at the Fermi level is 1.3956 states/eV/atom. For the total energy, the calculation gives -5.882 eV/atom. As for the space group: P6_3/m (176). The volume comes out at 23.3 Å³ per atom.

The highest volume belongs to which entry?
NaLa3Ir